1.
Entry from Alexandria: an optimized crystal structure of Tm2AlCl (PBE-GGA).

abc: 3.3462 3.3462 31.4093
angles: 90.00 90.00 120.00
Space group R-3m (No. 166, hexagonal axes)
Unique sites:
Tm1 0.0000 0.0000 0.0958 x6
Al1 0.0000 0.0000 0.0000 x3
Cl1 0.0000 0.0000 0.5000 x3

- E_tot (eV per cell) = -47.23
- V (Å³/atom) = 25.382
- formation energy (no corrections) (meV/atom) = -303
- DOS(E_F) (states/eV/atom) = 0.8711

---

2.
Entry from Alexandria: an optimized crystal structure of UAlCl6 (PBE-GGA).

abc: 6.439 12.255 6.387
angles: 90.00 105.83 90.00
Space group C2/m (No. 12)
Unique sites:
U1 0.000 0.000 0.000 x2
Al1 0.000 0.500 0.500 x2
Cl1 0.208 0.364 0.717 x8
Cl2 0.238 0.500 0.272 x4

- E_tot (eV per cell) = -76.37
- V (Å³/atom) = 30.308
- formation energy (no corrections) (meV/atom) = -1509
- DOS(E_F) (states/eV/atom) = 0.6697

---

3.
Entry from Alexandria: an optimized crystal structure of UAl2Cl8 (PBE-GGA).

abc: 13.432 8.614 6.778
angles: 90.00 100.60 90.00
Space group C2/m (No. 12)
Unique sites:
U1 0.000 0.000 0.000 x2
Al1 0.193 0.000 0.661 x4
Cl1 0.111 0.194 0.768 x8
Cl2 0.149 0.500 0.225 x4
Cl3 0.168 0.000 0.327 x4

- E_tot (eV per cell) = -97.16
- V (Å³/atom) = 35.039
- formation energy (no corrections) (meV/atom) = -1367
- DOS(E_F) (states/eV/atom) = 0.6585

---

4.
Entry from Alexandria: an optimized crystal structure of AlV2Cl (PBE-GGA).

abc: 3.704 3.704 18.252
angles: 90.00 90.00 90.00
Space group I-42d (No. 122)
Unique sites:
Al1 0.000 0.000 0.000 x4
V1 0.245 0.250 0.625 x8
Cl1 0.000 0.000 0.500 x4

- E_tot (eV per cell) = -87.47
- V (Å³/atom) = 15.652
- formation energy (no corrections) (meV/atom) = 490
- DOS(E_F) (states/eV/atom) = 0.8269

---

5.
Entry from Alexandria: an optimized crystal structure of Al3VCl (PBE-GGA).

abc: 5.054 5.054 5.054
angles: 90.00 90.00 90.00
Space group Pm-3m (No. 221)
Unique sites:
Al1 0.000 0.000 0.500 x3
V1 0.000 0.000 0.000 x1
Cl1 0.500 0.500 0.500 x1

- E_tot (eV per cell) = -19.46
- V (Å³/atom) = 25.826
- formation energy (no corrections) (meV/atom) = 546
- DOS(E_F) (states/eV/atom) = 0.3307

---

6.
Entry from Alexandria: an optimized crystal structure of Al3VCl (PBE-GGA).

abc: 4.766 4.766 4.766
angles: 90.00 90.00 90.00
Space group Pm-3m (No. 221)
Unique sites:
Al1 0.000 0.000 0.500 x3
V1 0.500 0.500 0.500 x1
Cl1 0.000 0.000 0.000 x1

- E_tot (eV per cell) = -17.63
- V (Å³/atom) = 21.647
- formation energy (no corrections) (meV/atom) = 914
- DOS(E_F) (states/eV/atom) = 1.2953